one) An optimized crystal structure of TeIrCI2. Source: the Alexandria database, functional PBE.

```
TeIrCI2
1.0
4.8280 0.0000 0.0000
0.0000 4.8280 0.0000
0.0000 0.0000 4.6755
Te Ir C I
1 1 1 2
Cartesian
0.0000 0.0000 0.0000
2.4140 2.4140 0.0000
0.0000 0.0000 2.3378
0.0000 2.4140 2.3378
2.4140 0.0000 2.3378
```

Properties
Symmetry ... P4/mmm
Volume ... 109 Å³/cell

---

two) An optimized crystal structure of TeIrCI2. Source: the Alexandria database, functional PBE.

```
TeIrCI2
1.0
5.6128 0.0000 0.0000
0.0000 5.6128 0.0000
0.0000 0.0000 5.0115
Te Ir C I
1 1 1 2
Cartesian
0.0000 0.0000 0.0000
0.0000 0.0000 2.5057
2.8064 2.8064 0.0000
0.0000 2.8064 2.5057
2.8064 0.0000 2.5057
```

Properties
Symmetry ... P4/mmm
Volume ... 158 Å³/cell

---

Q: Which of them is the most stable? A: two).

---

one) An optimized crystal structure of KC3I. Source: the Alexandria database, functional PBE.

```
KC3I
1.0
4.4308 0.0000 0.0000
0.0000 4.4308 0.0000
0.0000 0.0000 4.4308
K C I
1 3 1
Cartesian
0.0000 0.0000 0.0000
0.0000 2.2154 2.2154
2.2154 0.0000 2.2154
2.2154 2.2154 0.0000
2.2154 2.2154 2.2154
```

Properties
Symmetry ... Pm-3m
Volume ... 87 Å³/cell

---

two) An optimized crystal structure of KC3I. Source: the Alexandria database, functional PBE.

```
KC3I
1.0
5.3654 0.0000 0.0000
0.0000 5.3654 0.0000
0.0000 0.0000 5.3654
K C I
1 3 1
Cartesian
0.0000 0.0000 0.0000
0.0000 0.0000 2.6827
0.0000 2.6827 0.0000
2.6827 0.0000 0.0000
2.6827 2.6827 2.6827
```

Properties
Symmetry ... Pm-3m
Volume ... 154 Å³/cell

---

Q: Which of them is the most stable? A: one).

---

one) An optimized crystal structure of KCI2N. Source: the Alexandria database, functional PBE.

```
KCI2N
1.0
6.6189 0.0000 0.0000
0.0000 6.6189 0.0000
0.0000 0.0000 5.5053
K C I N
1 1 2 1
Cartesian
0.0000 0.0000 0.0000
3.3095 3.3095 2.7527
0.0000 3.3095 0.0000
3.3095 0.0000 0.0000
0.0000 0.0000 2.7527
```

Properties
Symmetry ... P4/mmm
Volume ... 241 Å³/cell

---

two) An optimized crystal structure of KCI2N. Source: the Alexandria database, functional PBE.

```
KCI2N
1.0
6.9106 0.0000 0.0000
0.0000 6.9106 0.0000
0.0000 0.0000 2.8465
K C I N
1 1 2 1
Cartesian
0.0000 0.0000 0.0000
3.4553 3.4553 1.4233
0.0000 3.4553 1.4233
3.4553 0.0000 1.4233
3.4553 3.4553 0.0000
```

Properties
Symmetry ... P4/mmm
Volume ... 136 Å³/cell

---

Q: Which of them is the most stable? A: two).

---

one) An optimized crystal structure of KSb2CI. Source: the Alexandria database, functional PBE.

```
KSb2CI
1.0
6.3961 0.0000 0.0000
0.0000 6.3961 0.0000
0.0000 0.0000 6.2402
K Sb C I
1 2 1 1
Cartesian
0.0000 0.0000 0.0000
0.0000 3.1981 0.0000
3.1981 0.0000 0.0000
3.1981 3.1981 3.1201
0.0000 0.0000 3.1201
```

Properties
Symmetry ... P4/mmm
Volume ... 255 Å³/cell

---

two) An optimized crystal structure of KSb2CI. Source: the Alexandria database, functional PBE.

```
KSb2CI
1.0
4.6337 0.0000 0.0000
0.0000 4.6337 0.0000
0.0000 0.0000 9.2621
K Sb C I
1 2 1 1
Cartesian
0.0000 0.0000 0.0000
0.0000 2.3169 4.6310
2.3169 0.0000 4.6310
2.3169 2.3169 4.6310
2.3169 2.3169 0.0000
```

Properties
Symmetry ... P4/mmm
Volume ... 199 Å³/cell

---

Q: Which of them is the most stable? A: two).

---

one) An optimized crystal structure of KTeCI2. Source: the Alexandria database, functional PBE.

```
KTeCI2
1.0
6.1070 0.0000 0.0000
0.0000 6.1070 0.0000
0.0000 0.0000 4.3677
K Te C I
1 1 1 2
Cartesian
0.0000 0.0000 0.0000
3.0535 3.0535 0.0000
3.0535 3.0535 2.1838
0.0000 3.0535 2.1838
3.0535 0.0000 2.1838
```

Properties
Symmetry ... P4/mmm
Volume ... 163 Å³/cell

---

two) An optimized crystal structure of KTeCI2. Source: the Alexandria database, functional PBE.

```
KTeCI2
1.0
6.6085 0.0000 0.0000
0.0000 6.6085 0.0000
0.0000 0.0000 6.9586
K Te C I
1 1 1 2
Cartesian
0.0000 0.0000 0.0000
0.0000 0.0000 3.4793
3.3043 3.3043 3.4793
0.0000 3.3043 0.0000
3.3043 0.0000 0.0000
```

Properties
Symmetry ... P4/mmm
Volume ... 304 Å³/cell

---

Q: Which of them is the most stable? A: one).

---

one) An optimized crystal structure of LaCI2. Source: the Alexandria database, functional PBE.

```
LaCI2
1.0
0.0000 3.8796 3.8796
3.8796 0.0000 3.8796
3.8796 3.8796 0.0000
La C I
1 1 2
Cartesian
0.0000 0.0000 0.0000
3.8796 3.8796 3.8796
1.9398 1.9398 1.9398
5.8194 5.8194 5.8194
```

Properties
Symmetry ... Fm-3m
Volume ... 117 Å³/cell

---

two) An optimized crystal structure of LaCI2. Source: the Alexandria database, functional PBE.

```
LaCI2
1.0
-3.0490 3.0490 7.2944
3.0490 -3.0490 7.2944
3.0490 3.0490 -7.2944
La C I
2 2 4
Cartesian
0.0000 0.0000 0.0000
0.0000 3.0490 3.6472
3.0490 0.0000 3.6472
0.0000 0.0000 7.2944
1.5245 -0.9757 5.4708
2.0734 1.5245 1.8236
1.5245 4.0247 -1.8236
0.9757 1.5245 9.1180
```

Properties
Symmetry ... I-42d
Volume ... 271 Å³/cell

---

Q: Which of them is the most stable? A: one).